(1)
ZrAsPtBr2 | PBE | relaxed

The structure in POSCAR format:
```
ZrAsPtBr2
1.0
5.020 0.000 0.000
0.000 5.020 0.000
0.000 0.000 5.029
Zr As Pt Br
1 1 1 2
Direct
0.000 0.000 0.000 Zr
0.500 0.500 0.000 As
0.500 0.500 0.500 Pt
0.000 0.500 0.500 Br
0.500 0.000 0.500 Br
```

Properties
The calculation puts the uncorrected formation energy at 2.11 eV/f.u. The value obtained for the density of states at the Fermi level is 5.93 states/eV/f.u. The calculation puts the calculated total energy at -4.095 eV per atom.

(2)
ZrAsPtBr2 | PBE | relaxed

The structure in POSCAR format:
```
ZrAsPtBr2
1.0
5.128 0.000 0.000
0.000 5.128 0.000
0.000 0.000 5.458
Zr As Pt Br
1 1 1 2
Direct
0.000 0.000 0.000 Zr
0.000 0.000 0.500 As
0.500 0.500 0.500 Pt
0.000 0.500 0.000 Br
0.500 0.000 0.000 Br
```

Properties
The calculation puts the uncorrected formation energy at 1.53 eV/f.u. The value obtained for the density of states at the Fermi level is 6.86 states/eV/f.u. The calculation puts the calculated total energy at -4.210 eV per atom.

(3)
Pu3AsBr3 | PBE | relaxed

The structure in POSCAR format:
```
Pu3AsBr3
1.0
-5.931 5.931 5.931
5.931 -5.931 5.931
5.931 5.931 -5.931
Pu As Br
12 4 12
Direct
0.006 0.013 0.256 Pu
0.006 0.494 0.750 Pu
0.013 0.256 0.006 Pu
0.244 0.256 0.750 Pu
0.244 0.487 0.494 Pu
0.256 0.006 0.013 Pu
0.256 0.750 0.244 Pu
0.487 0.494 0.244 Pu
0.494 0.244 0.487 Pu
0.494 0.750 0.006 Pu
0.750 0.006 0.494 Pu
0.750 0.244 0.256 Pu
0.000 0.250 0.500 As
0.250 0.250 0.250 As
0.250 0.500 0.000 As
0.500 0.000 0.250 As
0.250 0.754 0.746 Br
0.250 0.996 0.504 Br
0.504 0.250 0.996 Br
0.504 0.754 0.508 Br
0.508 0.504 0.754 Br
0.746 0.250 0.754 Br
0.746 0.996 0.992 Br
0.754 0.508 0.504 Br
0.754 0.746 0.250 Br
0.992 0.746 0.996 Br
0.996 0.504 0.250 Br
0.996 0.992 0.746 Br
```

Properties
The calculation puts the uncorrected formation energy at -8.61 eV/f.u. The value obtained for the density of states at the Fermi level is 26.57 states/eV/f.u. The calculation puts the calculated total energy at -8.754 eV per atom.

(4)
Pu7AsBr12 | PBE | relaxed

The structure in POSCAR format:
```
Pu7AsBr12
1.0
7.574 4.373 3.436
-7.574 4.373 3.436
0.000 -8.746 3.436
Pu As Br
7 1 12
Direct
0.000 0.000 0.000 Pu
0.162 0.387 0.466 Pu
0.387 0.466 0.162 Pu
0.466 0.162 0.387 Pu
0.534 0.838 0.613 Pu
0.613 0.534 0.838 Pu
0.838 0.613 0.534 Pu
0.500 0.500 0.500 As
0.038 0.344 0.117 Br
0.117 0.038 0.344 Br
0.188 0.726 0.576 Br
0.274 0.424 0.812 Br
0.344 0.117 0.038 Br
0.424 0.812 0.274 Br
0.576 0.188 0.726 Br
0.656 0.883 0.962 Br
0.726 0.576 0.188 Br
0.812 0.274 0.424 Br
0.883 0.962 0.656 Br
0.962 0.656 0.883 Br
```

Properties
The calculation puts the uncorrected formation energy at -28.23 eV/f.u. The value obtained for the density of states at the Fermi level is 74.84 states/eV/f.u. The calculation puts the calculated total energy at -7.664 eV per atom.

(5)
Pu4As3Br | PBE | relaxed

The structure in POSCAR format:
```
Pu4As3Br
1.0
4.163 -5.881 0.000
4.163 5.881 0.000
0.000 0.000 4.161
Pu As Br
4 3 1
Direct
0.241 0.241 0.500 Pu
0.246 0.754 0.000 Pu
0.754 0.246 0.000 Pu
0.759 0.759 0.500 Pu
0.000 0.000 0.000 As
0.000 0.500 0.500 As
0.500 0.000 0.500 As
0.500 0.500 0.000 Br
```

Properties
The calculation puts the uncorrected formation energy at -8.10 eV/f.u. The value obtained for the density of states at the Fermi level is 38.39 states/eV/f.u. The calculation puts the calculated total energy at -10.131 eV per atom.

(6)
Rb3As2Br8 | PBE | relaxed

The structure in POSCAR format:
```
Rb3As2Br8
1.0
8.016 0.000 0.000
3.483 7.231 0.000
3.978 2.507 8.950
Rb As Br
3 2 8
Direct
0.000 0.000 0.000 Rb
0.202 0.201 0.347 Rb
0.798 0.799 0.653 Rb
0.444 0.444 0.670 As
0.556 0.556 0.330 As
0.199 0.760 0.320 Br
0.240 0.801 0.680 Br
0.265 0.265 0.656 Br
0.327 0.327 0.969 Br
0.673 0.673 0.031 Br
0.735 0.735 0.344 Br
0.760 0.199 0.320 Br
0.801 0.240 0.680 Br
```

Properties
The calculation puts the uncorrected formation energy at -11.99 eV/f.u. The value obtained for the density of states at the Fermi level is 1.53 states/eV/f.u. The calculation puts the calculated total energy at -2.890 eV per atom.

(7)
Rb2AsBr4 | PBE | relaxed

The structure in POSCAR format:
```
Rb2AsBr4
1.0
-3.980 3.980 4.549
3.980 -3.980 4.549
3.980 3.980 -4.549
Rb As Br
2 1 4
Direct
0.250 0.750 0.500 Rb
0.750 0.250 0.500 Rb
0.000 0.000 0.000 As
0.237 0.237 0.474 Br
0.237 0.763 0.000 Br
0.763 0.237 0.000 Br
0.763 0.763 0.526 Br
```

Properties
The calculation puts the uncorrected formation energy at -7.60 eV/f.u. The calculation puts the calculated total energy at -2.983 eV per atom.

(8)
RbAs2Br8 | PBE | relaxed

The structure in POSCAR format:
```
RbAs2Br8
1.0
8.004 0.000 0.000
-4.002 6.932 0.000
0.000 0.000 10.604
Rb As Br
1 2 8
Direct
0.000 0.000 0.000 Rb
0.333 0.667 0.309 As
0.667 0.333 0.691 As
0.155 0.311 0.261 Br
0.155 0.845 0.261 Br
0.311 0.155 0.739 Br
0.333 0.667 0.531 Br
0.667 0.333 0.469 Br
0.689 0.845 0.261 Br
0.845 0.155 0.739 Br
0.845 0.689 0.739 Br
```

Properties
The calculation puts the uncorrected formation energy at -6.01 eV/f.u. The value obtained for the density of states at the Fermi level is 7.85 states/eV/f.u. The calculation puts the calculated total energy at -2.697 eV per atom.